1.
# Nd3NbSb5

A PBEsol-optimized structure of Nd3NbSb5 (SCAN, the Alexandria database).

a b c (Å): 6.1329 9.3436 9.3436
angles (deg): 120.00 90.00 90.00
With the nearest neighbours (Å) after each atom.
Atoms (fractional coordinates):
Sb  0.2500  0.0000  0.2619  2 Nb 2.89, 2 Nd 3.15
Sb  0.0000  0.6667  0.3333  2 Sb 3.07, 6 Nd 3.30
Nb  0.5000  0.0000  0.0000  6 Sb 2.89, 2 Nb 3.07
Sb  0.5000  0.6667  0.3333  2 Sb 3.07, 6 Nd 3.30
Nd  0.2500  0.6196  0.0000  9 Sb 3.15-3.34
Nd  0.7500  0.3804  0.0000  9 Sb 3.15-3.34
Sb  0.2500  0.2619  0.0000  2 Nb 2.89, 2 Nd 3.15
Sb  0.2500  0.7381  0.7381  2 Nb 2.89, 2 Nd 3.15
Sb  0.5000  0.3333  0.6667  2 Sb 3.07, 6 Nd 3.30
Nd  0.7500  0.6196  0.6196  9 Sb 3.15-3.34
Sb  0.7500  0.2619  0.2619  2 Nb 2.89, 2 Nd 3.15
Nd  0.2500  0.0000  0.6196  9 Sb 3.15-3.34
Nd  0.2500  0.3804  0.3804  9 Sb 3.15-3.34
Nb  0.0000  0.0000  0.0000  6 Sb 2.89, 2 Nb 3.07
Sb  0.7500  0.0000  0.7381  2 Nb 2.89, 2 Nd 3.15
Sb  0.0000  0.3333  0.6667  2 Sb 3.07, 6 Nd 3.30
Nd  0.7500  0.0000  0.3804  9 Sb 3.15-3.34
Sb  0.7500  0.7381  0.0000  2 Nb 2.89, 2 Nd 3.15

Results
The calculation puts the formation energy without anion corrections at -8.29 eV per formula unit. For the raw total energy, the calculation gives -39.830 eV/atom. For the spin magnetization, the calculation gives 0.000 μB per formula unit. The calculation puts the density of states at the Fermi level at 8.272 states/eV/cell.

2.
# Ta4Ni3

A PBEsol-optimized structure of Ta4Ni3 (SCAN, the Alexandria database).

a b c (Å): 4.8338 4.8338 4.9536
angles (deg): 90.00 90.00 120.00
With the nearest neighbours (Å) after each atom.
Atoms (fractional coordinates):
Ta  0.0000  0.0000  0.2531  2 Ta 2.45-2.51, 6 Ni 2.72
Ni  0.5000  0.5000  0.0000  4 Ni 2.42
Ta  0.6667  0.3333  0.5000  9 Ta 2.79-3.05, 6 Ni 2.84
Ni  0.5000  0.0000  0.0000  4 Ni 2.42
Ta  0.0000  0.0000  0.7469  2 Ta 2.45-2.51, 6 Ni 2.72
Ni  0.0000  0.5000  0.0000  4 Ni 2.42
Ta  0.3333  0.6667  0.5000  9 Ta 2.79-3.05, 6 Ni 2.84

Results
Its formation enthalpy at 0 K is -0.225 eV/atom. For the raw total energy, the calculation gives -45.204 eV/atom. For the spin magnetization, the calculation gives 0.001 μB per formula unit. The calculation puts the density of states at the Fermi level at 6.890 states/eV/cell.

3.
# BaSI2O

A PBEsol-optimized structure of BaSI2O (SCAN, the Alexandria database).

a b c (Å): 4.3904 6.7605 6.7605
angles (deg): 90.00 90.00 90.00
With the nearest neighbours (Å) after each atom.
Atoms (fractional coordinates):
Ba  0.0000  0.0000  0.0000  2 O 2.20
O  0.5000  0.0000  0.0000  2 Ba 2.20
S  0.5000  0.5000  0.5000  8 I 4.03, 2 S 4.39
I  0.0000  0.0000  0.5000  2 Ba 3.38
I  0.0000  0.5000  0.0000  2 Ba 3.38

Results
The calculation puts the formation energy without anion corrections at -0.82 eV per formula unit. For the raw total energy, the calculation gives -25.943 eV/atom. For the spin magnetization, the calculation gives 3.135 μB per formula unit. The calculation puts the density of states at the Fermi level at 2.613 states/eV/cell.

4.
# NbAs2IBr

A PBEsol-optimized structure of NbAs2IBr (SCAN, the Alexandria database).

a b c (Å): 5.2352 5.2352 5.3550
angles (deg): 90.00 90.00 90.00
With the nearest neighbours (Å) after each atom.
Atoms (fractional coordinates):
Nb  0.5000  0.5000  0.5000  4 Br 3.70, 8 As 3.74
As  0.0000  0.5000  0.0000  2 I 2.62
I  0.0000  0.0000  0.0000  4 As 2.62, 2 Br 2.68
As  0.5000  0.0000  0.0000  2 I 2.62
Br  0.0000  0.0000  0.5000  2 I 2.68

Results
The calculation puts the formation energy without anion corrections at 7.53 eV per formula unit. For the raw total energy, the calculation gives -24.437 eV/atom. For the spin magnetization, the calculation gives 2.441 μB per formula unit. The calculation puts the density of states at the Fermi level at 4.720 states/eV/cell.

5.
# TcSb2As

A PBEsol-optimized structure of TcSb2As (SCAN, the Alexandria database).

a b c (Å): 4.5879 4.8813 4.5879
angles (deg): 61.97 90.00 118.03
With the nearest neighbours (Å) after each atom.
Atoms (fractional coordinates):
Sb  0.2500  0.5000  0.2500  4 Tc 2.93, 4 As 2.93, 4 Sb 3.24
Sb  0.7500  0.5000  0.7500  4 As 2.93, 4 Tc 2.93, 4 Sb 3.24
As  0.5000  0.0000  0.5000  8 Sb 2.93, 4 Tc 3.24
Tc  0.0000  0.0000  0.0000  8 Sb 2.93, 4 As 3.24

Results
The calculation puts the formation energy without anion corrections at 2.31 eV per formula unit. For the raw total energy, the calculation gives -31.865 eV/atom. For the spin magnetization, the calculation gives 0.000 μB per formula unit. The calculation puts the density of states at the Fermi level at 2.050 states/eV/cell. The energy above the most stable polymorph in this dataset is 506 meV/atom.

6.
# SrAlCd2Co

A PBEsol-optimized structure of SrAlCd2Co (SCAN, the Alexandria database).

a b c (Å): 4.8435 5.8506 5.8506
angles (deg): 90.00 90.00 90.00
With the nearest neighbours (Å) after each atom.
Atoms (fractional coordinates):
Cd  0.0000  0.0000  0.5000  2 Sr 2.93
Co  0.5000  0.0000  0.0000  2 Sr 2.42
Al  0.5000  0.5000  0.5000  8 Cd 3.80, 4 Co 4.14
Sr  0.0000  0.0000  0.0000  2 Co 2.42
Cd  0.0000  0.5000  0.0000  2 Sr 2.93

Results
Its formation enthalpy at 0 K is 1.406 eV/atom. For the raw total energy, the calculation gives -20.226 eV/atom. For the spin magnetization, the calculation gives 1.652 μB per formula unit. The calculation puts the density of states at the Fermi level at 4.215 states/eV/cell.

Question: Number 5 is which compound?
Answer: TcSb2As